The following is a DFT calculation (GGA-PBE) of an optimized crystal structure of CrMo.

ΔE_f = 0.070 eV/atom
Magnetic moment = 0.001 Bohr magnetons per cell
Volume = 111 Å³/cell
Mass density = 8878 kg/m3
E = -81.26 eV per cell

Cell lengths 3.035, 4.269, 8.543 Å; angles 90.00, 90.00, 90.00 degrees
Space group Imma (No. 74)
Unique sites:
Cr  0.000  0.250  0.127
Mo  0.000  0.250  0.622